The following is a DFT calculation (PBE) of an optimized crystal structure of Ac3SmSb4.

Unit cell a=6.686 b=6.686 c=6.686 alpha=90.00 beta=90.00 gamma=90.00
Atoms (fractional coordinates):
Ac (0.000, 0.000, 0.500)
Ac (0.000, 0.500, 0.000)
Ac (0.500, 0.000, 0.000)
Sm (0.500, 0.500, 0.500)
Sb (0.000, 0.000, 0.000)
Sb (0.000, 0.500, 0.500)
Sb (0.500, 0.000, 0.500)
Sb (0.500, 0.500, 0.000)

Values from the calculation:
Excess energy over the best structure of this formula in the dataset = 16.5 meV per atom
Spin magnetization = 0.00 μB/atom
Formation energy without anion corrections = -1.17 eV per atom